The following is a PBE with a Hubbard U calculation of a geometry-optimized RbCrTe2O6 structure, from Alexandria.

a = 8.113 Å, b = 7.868 Å, c = 7.868 Å
α = 104.21°, β = 71.16°, γ = 71.16°
Last column: magnetic moment on the atom in μB.
Sites, in units of the cell vectors:
Te  0.838  0.548  0.734  0.01
Te  0.662  0.266  0.452  0.01
O  0.688  0.755  0.996  -0.02
O  0.188  0.996  0.755  -0.02
Rb  0.250  0.902  0.098  0.00
Cr  0.250  0.213  0.787  2.94
O  0.008  0.376  0.801  -0.01
Cr  0.750  0.787  0.213  2.94
O  0.977  0.677  0.629  0.00
O  0.992  0.624  0.199  -0.01
Te  0.338  0.734  0.548  0.01
O  0.508  0.801  0.376  -0.01
O  0.492  0.199  0.624  -0.01
O  0.523  0.371  0.323  0.00
O  0.312  0.245  0.004  -0.02
Te  0.162  0.452  0.266  0.01
O  0.477  0.629  0.677  0.00
O  0.023  0.323  0.371  0.00
O  0.812  0.004  0.245  -0.02
Rb  0.750  0.098  0.902  0.00

Computed properties:
Raw total energy   -114.36 eV for the cell shown
Spin magnetization   3.00 μB/f.u.